## KRb2TaIn (PBE-GGA)

Data for crystalline KRb2TaIn at its relaxed geometry.

a b c (Å): 6.821 6.644 6.821
angles (deg): 90.00 90.00 90.00
Each line ends with the local moment (μB).
Fractional coordinates of all 5 atoms:
K (0.000, 0.500, 0.000)  0.00
In (0.000, 0.000, 0.000)  -0.08
Rb (0.000, 0.000, 0.500)  0.01
Rb (0.500, 0.000, 0.000)  0.00
Ta (0.500, 0.500, 0.500)  2.32

Calculated values
Mass density: 2.717 g/cm3
Crystal system: tetragonal
Formation enthalpy at 0 K: 1493.6 meV/atom

=====

## HoZrCoCu (PBE-GGA)

Data for crystalline HoZrCoCu at its relaxed geometry.

a b c (Å): 4.673 4.673 4.673
angles (deg): 60.00 60.00 60.00
Fractional coordinates of all 4 atoms:
Cu (0.750, 0.750, 0.750)
Co (0.250, 0.250, 0.250)
Ho (0.000, 0.000, 0.000)
Zr (0.500, 0.500, 0.500)

Calculated values
Mass density: 8.716 g/cm3
Crystal system: cubic
Formation enthalpy at 0 K: -168.5 meV/atom

=====

## Si2SbP (PBE-GGA)

Data for crystalline Si2SbP at its relaxed geometry.

a b c (Å): 3.652 4.400 5.169
angles (deg): 77.54 90.00 90.00
Fractional coordinates of all 4 atoms:
P (0.000, 0.513, 0.433)
Sb (0.500, 0.746, 0.765)
Si (0.000, 0.953, 0.104)
Si (0.500, 0.288, 0.198)

Calculated values
Mass density: 4.277 g/cm3
Crystal system: monoclinic
Distance to the lowest polymorph of the same formula: 0.000 eV per atom